1.
Computed, not measured: a geometry-optimized Ac2PrPd2 structure at the GGA-PBE level of DFT.

Cell: 4.235 8.349 8.349 Å, 90.00 90.00 90.00°
Fractional coordinates of all 10 atoms:
Ac 0.500 0.169 0.669
Ac 0.500 0.669 0.831
Ac 0.500 0.831 0.331
Ac 0.500 0.331 0.169
Pr 0.000 0.000 0.000
Pr 0.000 0.500 0.500
Pd 0.000 0.372 0.872
Pd 0.000 0.872 0.628
Pd 0.000 0.628 0.128
Pd 0.000 0.128 0.372

Properties
Space-group type = P4/mbm, No. 127
Density of states at the Fermi level = 0.62 states/eV/atom
Crystal system = tetragonal
Electronic total energy = -53.22 eV/cell

=====

2.
Computed, not measured: a geometry-optimized Nd2MgZn2 structure at the GGA-PBE level of DFT.

Cell: 4.545 7.457 7.457 Å, 90.00 90.00 90.00°
Fractional coordinates of all 10 atoms:
Nd 0.500 0.168 0.668
Nd 0.500 0.668 0.832
Nd 0.500 0.832 0.332
Nd 0.500 0.332 0.168
Mg 0.000 0.000 0.000
Mg 0.000 0.500 0.500
Zn 0.000 0.373 0.873
Zn 0.000 0.873 0.627
Zn 0.000 0.627 0.127
Zn 0.000 0.127 0.373

Properties
Space-group type = P4/mbm, No. 127
Density of states at the Fermi level = 1.14 states/eV/atom
Crystal system = tetragonal
Electronic total energy = -29.91 eV/cell

=====

3.
Computed, not measured: a geometry-optimized K3ZrPb2O6 structure at the GGA-PBE level of DFT.

Cell: 6.171 6.171 7.125 Å, 90.00 90.00 120.00°
Fractional coordinates of all 12 atoms:
K 0.333 0.667 0.633
K 0.667 0.333 0.367
K 0.000 0.000 0.000
Zr 0.000 0.000 0.500
Pb 0.667 0.333 0.834
Pb 0.333 0.667 0.166
O 0.679 0.839 0.325
O 0.161 0.321 0.325
O 0.161 0.839 0.325
O 0.839 0.679 0.675
O 0.321 0.161 0.675
O 0.839 0.161 0.675

Properties
Space-group type = P-3m1, No. 164
Formation energy (no corrections) = -20.64 eV per formula unit
Density of states at the Fermi level = 0.85 states/eV/atom
Crystal system = trigonal